(1)
This record from the Alexandria database describes a relaxed structure of MgZnCu. The functional is PBE.

The structure in CIF format:
```
data_MgZnCu
_chemical_formula_sum 'Mg4 Zn4 Cu4'
_cell_length_a 3.815
_cell_length_b 3.815
_cell_length_c 13.572
_cell_angle_alpha 90.00
_cell_angle_beta 90.00
_cell_angle_gamma 90.00
_symmetry_space_group_name_H-M 'I 4/m m m'
_symmetry_Int_Tables_number 139
_symmetry_space_group_name_Hall '-I 4 2'
loop_
_atom_site_label
_atom_site_type_symbol
_atom_site_fract_x
_atom_site_fract_y
_atom_site_fract_z
Mg1 Mg 0.000 0.000 0.177
Zn1 Zn 0.000 0.500 0.000
Cu1 Cu 0.000 0.000 0.378
```

raw total energy	-28.6	eV for the cell shown
total moment	0.0000	μB/atom

***

(2)
This record from the Alexandria database describes a relaxed structure of Mg2Zn2Cu3. The functional is PBE.

The structure in CIF format:
```
data_Mg2Zn2Cu3
_chemical_formula_sum 'Mg4 Zn4 Cu6'
_cell_length_a 3.062
_cell_length_b 23.265
_cell_length_c 3.116
_cell_angle_alpha 90.00
_cell_angle_beta 90.00
_cell_angle_gamma 90.00
_symmetry_space_group_name_H-M 'C m m m'
_symmetry_Int_Tables_number 65
_symmetry_space_group_name_Hall '-C 2 2'
loop_
_atom_site_label
_atom_site_type_symbol
_atom_site_fract_x
_atom_site_fract_y
_atom_site_fract_z
Mg1 Mg 0.000 0.191 0.000
Zn1 Zn 0.000 0.387 0.500
Cu1 Cu 0.000 0.056 0.000
Cu2 Cu 0.000 0.500 0.500
```

relative energy among the computed polymorphs	0.040	eV per atom
total moment	0.0000	μB/atom